[1]
! FeTcBr6 | Alexandria via LeMat-Bulk | GGA-PBE | relaxed; values from VASP
&SYSTEM
  ibrav = 0, nat = 16, ntyp = 3
/
ATOMIC_SPECIES
Fe 55.84 Fe.upf
Tc 98.00 Tc.upf
Br 79.90 Br.upf
CELL_PARAMETERS angstrom
7.912 -0.073 -2.768
-3.957 6.853 -2.764
0.033 0.068 8.442
ATOMIC_POSITIONS crystal
Fe 0.000 0.500 0.000
Fe 0.500 0.000 0.000
Tc 0.000 0.000 0.500
Tc 0.500 0.500 0.500
Br 0.192 0.698 0.889
Br 0.808 0.302 0.111
Br 0.826 0.688 0.514
Br 0.174 0.312 0.486
Br 0.876 0.178 0.687
Br 0.124 0.822 0.313
Br 0.509 0.812 0.687
Br 0.491 0.188 0.313
Br 0.699 0.876 0.189
Br 0.301 0.124 0.811
Br 0.686 0.509 0.811
Br 0.314 0.491 0.189
! Formation energy from raw total energies ... -0.27 eV per atom
! Magnetic moment ... 0.876 μB/atom

[2]
! LaWAu2 | Alexandria via LeMat-Bulk | GGA-PBE | relaxed; values from VASP
&SYSTEM
  ibrav = 0, nat = 8, ntyp = 3
/
ATOMIC_SPECIES
Au 196.97 Au.upf
W 183.84 W.upf
La 138.91 La.upf
CELL_PARAMETERS angstrom
4.935 0.000 0.000
0.000 4.935 0.000
2.468 2.468 8.739
ATOMIC_POSITIONS crystal
Au 0.723 0.125 0.250
Au 0.027 0.625 0.250
Au 0.375 0.277 0.750
Au 0.875 0.973 0.750
W 0.000 0.000 0.000
W 0.750 0.250 0.500
La 0.500 0.500 0.000
La 0.250 0.750 0.500
! Magnetic moment ... 0.000 μB/atom
! Calculated formation energy ... 505 meV per atom